The following is a DFT calculation (PBE) of an optimized crystal structure of Cu2SeBr.

Summary:
The volume is 98 Å³/f.u. As for the magnetic moment: 0.00 μB per formula unit. The total energy comes out at -3.2598 eV/atom. The uncorrected formation energy comes out at 0.08 eV per atom. Its excess energy over the best structure of this formula in the dataset is 1.10 eV/f.u.

Unit cell a=3.503 b=3.503 c=15.923 alpha=90.00 beta=90.00 gamma=90.00
Space group I-4m2 (No. 119)
Asymmetric unit:
Cu 0.000 0.000 0.000 [2 per cell]
Cu 0.000 0.500 0.250 [2 per cell]
Se 0.000 0.500 0.750 [2 per cell]
Br 0.000 0.000 0.500 [2 per cell]